Entry 1:
Computed, not measured: crystalline AgIrPd2 at its relaxed geometry at the GGA-PBE level of DFT.

```
AgIrPd2
1.0
-0.283 -0.021 4.451
-3.987 0.262 1.982
-1.678 -3.553 2.111
Pd Ir Ag
2 1 1
direct
0.250 0.250 0.250
0.000 0.000 0.000
0.750 0.750 0.750
0.500 0.500 0.500
```

Values from the calculation:
Space group ... No. 216
Calculated formation energy ... 0.376 eV per atom
DFT total energy ... -5.1311 eV per atom
Volume ... 15.7 Å³/atom

=====

Entry 2:
Computed, not measured: crystalline PmAgIr at its relaxed geometry at the GGA-PBE level of DFT.

```
PmAgIr
1.0
0.000 3.345 3.345
3.345 0.000 3.345
3.345 3.345 0.000
Ir Pm Ag
1 1 1
direct
0.750 0.750 0.750
0.000 0.000 0.000
0.250 0.250 0.250
```

Values from the calculation:
Space group ... No. 216
Calculated formation energy ... 0.317 eV per atom
DFT total energy ... -5.1583 eV per atom
Volume ... 25.0 Å³/atom
Energy above the lowest structure with this stoichiometry ... 0.4236 eV per atom

=====

Question: Which value of calculated formation energy does entry 2 give?
Answer: 0.317 eV per atom